# 1
VASP calculation (PBE) on a geometry-optimized Mg3TaO structure.

```
Mg3TaO
1.0
-4.411 0.257 -3.219
-1.111 -5.238 1.104
-3.032 1.545 4.278
Ta O Mg
1 1 3
direct
0.000 0.000 0.000
0.500 0.500 0.500
0.500 0.000 0.000
0.000 0.000 0.500
0.000 0.500 0.000
```

raw total energy: -2.615 eV per atom
energy relative to the lowest polymorph listed for this composition: 2.0059 eV per atom
formation energy from raw total energies: 1.70 eV per atom
DOS at the Fermi energy: 2.473 states/eV/atom

# 2
VASP calculation (PBE) on a geometry-optimized MgTaO3 structure.

```
MgTaO3
1.0
3.268 0.000 0.000
0.000 5.069 0.000
0.000 0.000 6.944
Ta Mg O
2 2 6
direct
0.000 0.000 0.500
0.000 0.000 0.000
0.500 0.467 0.250
0.500 0.533 0.750
0.000 0.767 0.750
0.500 0.240 0.554
0.500 0.760 0.446
0.000 0.233 0.250
0.500 0.760 0.054
0.500 0.240 0.946
```

raw total energy: -8.199 eV per atom
formation energy from raw total energies: -2.53 eV per atom
DOS at the Fermi energy: 0.192 states/eV/atom

# 3
VASP calculation (PBE) on a geometry-optimized MgTa4O12 structure.

```
MgTa4O12
1.0
-3.952 3.952 3.952
3.952 -3.952 3.952
3.952 3.952 -3.952
O Mg Ta
12 1 4
direct
0.758 0.517 0.758
0.000 0.242 0.758
0.242 0.000 0.758
0.517 0.758 0.758
0.483 0.242 0.242
0.758 0.758 0.517
0.758 0.242 0.000
0.242 0.242 0.483
0.758 0.000 0.242
0.242 0.483 0.242
0.000 0.758 0.242
0.242 0.758 0.000
0.000 0.000 0.000
0.500 0.500 0.500
0.500 0.000 0.000
0.000 0.000 0.500
0.000 0.500 0.000
```

raw total energy: -8.851 eV per atom
formation energy from raw total energies: -2.47 eV per atom
DOS at the Fermi energy: 0.569 states/eV/atom

# 4
VASP calculation (PBE) on a geometry-optimized Mg3TaO structure.

```
Mg3TaO
1.0
4.358 0.000 0.000
0.000 4.358 0.000
0.000 0.000 4.358
Mg O Ta
3 1 1
direct
0.500 0.000 0.000
0.000 0.500 0.000
0.000 0.000 0.500
0.000 0.000 0.000
0.500 0.500 0.500
```

raw total energy: -4.621 eV per atom
energy relative to the lowest polymorph listed for this composition: 0.0000 eV per atom
formation energy from raw total energies: -0.30 eV per atom
DOS at the Fermi energy: 0.445 states/eV/atom

# 5
VASP calculation (PBE) on a geometry-optimized MgTaO3 structure.

```
MgTaO3
1.0
3.972 0.000 0.000
0.000 3.972 0.000
0.000 0.000 3.972
O Mg Ta
3 1 1
direct
0.500 0.000 0.000
0.000 0.000 0.500
0.000 0.500 0.000
0.500 0.500 0.500
0.000 0.000 0.000
```

raw total energy: -7.896 eV per atom
formation energy from raw total energies: -2.23 eV per atom
DOS at the Fermi energy: 0.309 states/eV/atom

# 6
VASP calculation (PBE) on a geometry-optimized MgTaO3 structure.

```
MgTaO3
1.0
-1.857 -3.125 0.466
0.609 0.176 3.610
-3.100 1.907 0.430
Mg Ta O
1 1 3
direct
0.000 0.000 0.000
0.500 0.500 0.500
0.000 0.500 0.000
0.000 0.000 0.500
0.500 0.000 0.000
```

raw total energy: -6.880 eV per atom
formation energy from raw total energies: -1.22 eV per atom
DOS at the Fermi energy: 0.538 states/eV/atom

# 7
VASP calculation (PBE) on a geometry-optimized Mg2TaO4 structure.

```
Mg2TaO4
1.0
2.950 0.000 0.000
0.000 5.341 0.064
-1.475 -2.545 4.921
Mg O Ta
2 4 1
direct
0.708 0.711 0.415
0.292 0.289 0.585
0.363 0.712 0.725
0.125 0.831 0.249
0.637 0.288 0.275
0.875 0.169 0.751
0.000 0.000 0.000
```

raw total energy: -7.574 eV per atom
formation energy from raw total energies: -2.59 eV per atom
DOS at the Fermi energy: 0.217 states/eV/atom

# 8
VASP calculation (PBE) on a geometry-optimized MgTa2O structure.

```
MgTa2O
1.0
5.497 0.000 0.000
0.000 5.497 0.000
2.748 2.748 5.588
Ta Mg O
4 2 2
direct
0.430 0.125 0.250
0.875 0.680 0.750
0.320 0.625 0.250
0.375 0.570 0.750
0.750 0.250 0.500
0.000 0.000 0.000
0.500 0.500 0.000
0.250 0.750 0.500
```

raw total energy: -7.582 eV per atom
energy relative to the lowest polymorph listed for this composition: 0.0000 eV per atom
formation energy from raw total energies: -0.02 eV per atom
DOS at the Fermi energy: 0.322 states/eV/atom

# 9
VASP calculation (PBE) on a geometry-optimized Mg2TaTeO structure.

```
Mg2TaTeO
1.0
5.632 0.000 0.000
0.000 3.874 0.000
0.000 0.000 5.632
Mg Ta Te O
2 1 1 1
direct
0.500 0.000 0.000
0.000 0.000 0.500
0.000 0.000 0.000
0.500 0.500 0.500
0.000 0.500 0.000
```

raw total energy: -4.924 eV per atom
formation energy from raw total energies: -0.30 eV per atom
DOS at the Fermi energy: 0.581 states/eV/atom

# 10
VASP calculation (PBE) on a geometry-optimized Mg2TaTiO6 structure.

```
Mg2TaTiO6
1.0
7.626 0.000 0.000
0.000 5.224 0.003
0.000 0.014 5.393
Mg O Ta Ti
4 12 2 2
direct
0.750 0.996 0.039
0.250 0.510 0.439
0.750 0.490 0.561
0.250 0.004 0.961
0.434 0.828 0.186
0.250 0.380 0.065
0.750 0.620 0.935
0.066 0.679 0.680
0.566 0.321 0.320
0.934 0.172 0.814
0.566 0.172 0.814
0.750 0.871 0.437
0.934 0.321 0.320
0.066 0.828 0.186
0.250 0.129 0.563
0.434 0.679 0.680
0.500 0.000 0.500
0.000 0.000 0.500
0.500 0.500 0.000
0.000 0.500 0.000
```

raw total energy: -8.005 eV per atom
formation energy from raw total energies: -2.74 eV per atom
DOS at the Fermi energy: 0.321 states/eV/atom

# 11
VASP calculation (PBE) on a geometry-optimized Mg2Ta2TiO8 structure.

```
Mg2Ta2TiO8
1.0
-3.413 -4.966 -8.004
2.590 -4.946 -8.319
0.158 -4.440 2.717
O Ta Ti Mg
16 4 2 4
direct
0.837 0.546 0.119
0.914 0.715 0.454
0.191 0.950 0.408
0.426 0.691 0.911
0.086 0.285 0.546
0.285 0.086 0.046
0.454 0.163 0.381
0.050 0.809 0.092
0.546 0.837 0.619
0.809 0.050 0.592
0.691 0.426 0.411
0.715 0.914 0.954
0.309 0.574 0.589
0.950 0.191 0.908
0.163 0.454 0.881
0.574 0.309 0.089
0.273 0.961 0.747
0.727 0.039 0.253
0.961 0.273 0.247
0.039 0.727 0.753
0.626 0.374 0.750
0.374 0.626 0.250
0.417 0.130 0.745
0.130 0.417 0.245
0.870 0.583 0.755
0.583 0.870 0.255
```

raw total energy: -8.457 eV per atom
formation energy from raw total energies: -2.73 eV per atom
DOS at the Fermi energy: 0.176 states/eV/atom

# 12
VASP calculation (PBE) on a geometry-optimized MgUTaO6 structure.

```
MgUTaO6
1.0
-2.114 4.599 1.599
1.206 -3.747 3.561
8.343 3.527 0.886
O Mg U Ta
12 2 2 2
direct
0.317 0.312 0.875
0.995 0.683 0.875
0.005 0.688 0.375
0.312 0.995 0.125
0.005 0.317 0.125
0.317 0.005 0.625
0.683 0.995 0.375
0.683 0.688 0.125
0.688 0.005 0.875
0.312 0.317 0.375
0.688 0.683 0.625
0.995 0.312 0.625
0.667 0.333 0.750
0.333 0.667 0.250
0.667 0.333 0.250
0.333 0.667 0.750
0.000 0.000 0.500
0.000 0.000 0.000
```

raw total energy: -8.950 eV per atom
formation energy from raw total energies: -2.90 eV per atom
DOS at the Fermi energy: 0.031 states/eV/atom

Q: Look up the formation energy from raw total energies of the second one.
A: -2.53 eV per atom

Q: Number 8 is which compound?
A: MgTa2O

Copy entry 2 word for word.
VASP calculation (PBE) on a geometry-optimized MgTaO3 structure.

```
MgTaO3
1.0
3.268 0.000 0.000
0.000 5.069 0.000
0.000 0.000 6.944
Ta Mg O
2 2 6
direct
0.000 0.000 0.500
0.000 0.000 0.000
0.500 0.467 0.250
0.500 0.533 0.750
0.000 0.767 0.750
0.500 0.240 0.554
0.500 0.760 0.446
0.000 0.233 0.250
0.500 0.760 0.054
0.500 0.240 0.946
```

raw total energy: -8.199 eV per atom
formation energy from raw total energies: -2.53 eV per atom
DOS at the Fermi energy: 0.192 states/eV/atom